(1)
Compound: Na2BiSO
Source: Alexandria
Functional: PBE
Structure: relaxed

Computed properties:
Symmetry: No. 123
Density of states at the Fermi level in states/eV/f.u.: 8.78
Electronic total energy in eV per atom: -2.724

Unit cell a=6.2422 b=6.2422 c=5.1579 alpha=90.00 beta=90.00 gamma=90.00
Closest atoms and distances in Å follow each position.
Positions (direct):
Na1 0.0000 0.5000 0.0000  2 Bi 3.12
Na2 0.5000 0.0000 0.0000  2 Bi 3.12
Bi1 0.0000 0.0000 0.0000  2 S 2.58
S1 0.0000 0.0000 0.5000  2 Bi 2.58
O1 0.5000 0.5000 0.5000  8 Na 4.05, 4 S 4.41

***

(2)
Compound: TaInP2
Source: Alexandria
Functional: PBE
Structure: relaxed

Computed properties:
Symmetry: No. 187
Density of states at the Fermi level in states/eV/f.u.: 2.96
Formation enthalpy at 0 K in meV/atom: -190

Unit cell a=3.3368 b=3.3368 c=8.4890 alpha=90.00 beta=90.00 gamma=120.00
Closest atoms and distances in Å follow each position.
Positions (direct):
Ta1 0.0000 0.0000 0.0000  6 P 2.51
In1 0.6667 0.3333 0.5000  2 P 2.64
P1 0.6667 0.3333 0.1889  3 Ta 2.51, 1 In 2.64
P2 0.6667 0.3333 0.8111  3 Ta 2.51, 1 In 2.64

***

(3)
Compound: ReW3Se8
Source: Alexandria
Functional: PBE
Structure: relaxed

Computed properties:
Symmetry: No. 166
Density of states at the Fermi level in states/eV/f.u.: 5.37
Electronic total energy in eV per atom: -6.848

Unit cell a=7.7993 b=7.7993 c=7.7993 alpha=49.55 beta=49.55 gamma=49.55
Closest atoms and distances in Å follow each position.
Positions (direct):
Re1 0.0000 0.0000 0.0000  6 Se 2.56
W1 0.0000 0.5000 0.5000  6 Se 2.56-2.57
W2 0.5000 0.0000 0.5000  6 Se 2.56-2.57
W3 0.5000 0.5000 0.0000  6 Se 2.56-2.57
Se1 0.2457 0.7497 0.7497  1 Re 2.56, 2 W 2.57
Se2 0.2485 0.2485 0.2485  3 W 2.56
Se3 0.2503 0.2503 0.7543  1 Re 2.56, 2 W 2.57
Se4 0.2503 0.7543 0.2503  1 Re 2.56, 2 W 2.57
Se5 0.7497 0.2457 0.7497  1 Re 2.56, 2 W 2.57
Se6 0.7497 0.7497 0.2457  1 Re 2.56, 2 W 2.57
Se7 0.7515 0.7515 0.7515  3 W 2.56
Se8 0.7543 0.2503 0.2503  1 Re 2.56, 2 W 2.57

***

(4)
Compound: Li2PrHo2In2
Source: Alexandria
Functional: PBE
Structure: relaxed

Computed properties:
Symmetry: No. 166
Density of states at the Fermi level in states/eV/f.u.: 5.83
Formation enthalpy at 0 K in meV/atom: -234

Unit cell a=9.3061 b=9.3061 c=9.3061 alpha=30.60 beta=30.60 gamma=30.60
Closest atoms and distances in Å follow each position.
Positions (direct):
Li1 0.0947 0.0947 0.0947  3 In 2.84
Li2 0.9053 0.9053 0.9053  3 In 2.84
Pr1 0.5000 0.5000 0.5000  6 Li 3.42, 2 Ho 3.43, 6 In 3.47
Ho1 0.3709 0.3709 0.3709  4 In 3.18-3.43, 3 Li 3.22, 1 Pr 3.43, 3 Ho 3.47
Ho2 0.6291 0.6291 0.6291  4 In 3.18-3.43, 3 Li 3.22, 1 Pr 3.43, 3 Ho 3.47
In1 0.2418 0.2418 0.2418  3 Li 2.84
In2 0.7582 0.7582 0.7582  3 Li 2.84